Entry 1:
RbAlTe2O8 | GGA-PBE | optimized geometry

Calculated values
raw total energy: -5.63 eV per atom
total magnetization: 0.00 μB per cell

The structure in POSCAR format:
```
RbAlTe2O8
1.0
5.1992 0.0000 0.0000
-2.5996 4.5027 0.0000
0.0000 0.0000 9.0715
Rb Al Te O
1 1 2 8
Direct
0.0000 0.0000 0.0000
0.0000 0.0000 0.5000
0.6667 0.3333 0.3134
0.3333 0.6667 0.6866
0.3333 0.6667 0.8871
0.3049 0.2851 0.3747
0.7149 0.0198 0.3747
0.6667 0.3333 0.1129
0.2851 0.9802 0.6253
0.6951 0.7149 0.6253
0.0198 0.3049 0.6253
0.9802 0.6951 0.3747
```

Entry 2:
RbAlTeO6 | GGA-PBE | optimized geometry

Calculated values
raw total energy: -5.55 eV per atom
total magnetization: 2.08 μB per cell

The structure in POSCAR format:
```
RbAlTeO6
1.0
5.3881 0.0000 0.0236
2.6940 4.6115 0.0120
0.0246 -0.0007 6.0777
Rb Al Te O
1 1 1 6
Direct
0.9976 0.0048 0.0000
0.3443 0.3114 0.5000
0.6540 0.6919 0.5000
0.0027 0.4005 0.3438
0.4052 0.0024 0.6901
0.5967 0.4006 0.6562
0.0030 0.5930 0.6638
0.4040 0.5930 0.3362
0.5923 0.0024 0.3098
```

Entry 3:
Rb2ThAl2O6 | GGA-PBE | optimized geometry

Calculated values
raw total energy: -6.88 eV per atom
total magnetization: 0.00 μB per cell

The structure in POSCAR format:
```
Rb2ThAl2O6
1.0
-0.3894 -6.0552 -0.9401
4.4934 2.2802 3.5037
-6.5539 -0.0678 3.1512
Rb Th Al O
2 1 2 6
Direct
0.7048 0.4095 0.1151
0.2952 0.5905 0.8849
0.5000 0.0000 0.5000
0.9083 0.8167 0.7229
0.0917 0.1833 0.2771
0.7464 0.4928 0.7199
0.2513 0.0202 0.2744
0.2311 0.9798 0.7256
0.7487 0.9798 0.7256
0.7689 0.0202 0.2744
0.2536 0.5072 0.2801
```